# 1
Entry from Alexandria via LeMat-Bulk: a geometry-optimized Cs3GeSe3 structure (GGA-PBEsol).

a = 10.596 Å, b = 10.596 Å, c = 9.605 Å
α = 95.38°, β = 95.38°, γ = 81.22°
Element x y z (fractional)
1 Cs 0.082 0.918 0.750
2 Cs 0.156 0.662 0.379
3 Cs 0.250 0.253 0.254
4 Cs 0.253 0.250 0.754
5 Cs 0.338 0.844 0.121
6 Cs 0.418 0.582 0.750
7 Cs 0.582 0.418 0.250
8 Cs 0.662 0.156 0.879
9 Cs 0.747 0.750 0.246
10 Cs 0.750 0.747 0.746
11 Cs 0.844 0.338 0.621
12 Cs 0.918 0.082 0.250
13 Ge 0.073 0.573 0.963
14 Ge 0.427 0.927 0.537
15 Ge 0.573 0.073 0.463
16 Ge 0.927 0.427 0.037
17 Se 0.003 0.787 0.053
18 Se 0.068 0.566 0.713
19 Se 0.213 0.997 0.447
20 Se 0.286 0.508 0.056
21 Se 0.434 0.932 0.787
22 Se 0.492 0.714 0.444
23 Se 0.508 0.286 0.556
24 Se 0.566 0.068 0.213
25 Se 0.714 0.492 0.944
26 Se 0.787 0.003 0.553
27 Se 0.932 0.434 0.287
28 Se 0.997 0.213 0.947

Results
* raw formation energy: -1011.3 meV/atom
* E: -3.7709 eV/atom
* D(E_F): 0.0 states/eV/f.u.
* space group: C2/c, No. 15

***

# 2
Entry from Alexandria via LeMat-Bulk: a geometry-optimized MgInHg2 structure (GGA-PBEsol).

a = 10.570 Å, b = 3.557 Å, c = 4.871 Å
α = 90.00°, β = 98.29°, γ = 90.00°
Element x y z (fractional)
1 Mg 0.000 0.000 0.000
2 Mg 0.500 0.500 0.000
3 In 0.252 0.500 0.309
4 In 0.752 0.000 0.309
5 Hg 0.000 0.500 0.507
6 Hg 0.258 0.000 0.817
7 Hg 0.500 0.000 0.507
8 Hg 0.758 0.500 0.817

Results
* E: -1.5877 eV/atom
* D(E_F): 1.5 states/eV/f.u.
* space group: Cm, No. 8
* E_form: -129 meV per atom

***

# 3
Entry from Alexandria via LeMat-Bulk: a geometry-optimized NaNdF4 structure (GGA-PBEsol).

a = 6.105 Å, b = 6.105 Å, c = 7.274 Å
α = 90.00°, β = 90.00°, γ = 120.00°
Element x y z (fractional)
1 Na 0.000 0.000 0.000
2 Na 0.333 0.667 0.207
3 Na 0.333 0.667 0.793
4 Nd 0.000 0.000 0.500
5 Nd 0.667 0.333 0.246
6 Nd 0.667 0.333 0.754
7 F 0.016 0.744 0.260
8 F 0.016 0.744 0.740
9 F 0.256 0.273 0.260
10 F 0.256 0.273 0.740
11 F 0.421 0.061 0.500
12 F 0.437 0.045 0.000
13 F 0.608 0.563 0.000
14 F 0.640 0.579 0.500
15 F 0.727 0.984 0.260
16 F 0.727 0.984 0.740
17 F 0.939 0.360 0.500
18 F 0.955 0.392 0.000

Results
* raw formation energy: -3688.0 meV/atom
* E: -6.0674 eV/atom
* D(E_F): 0.0 states/eV/f.u.
* space group: P-6, No. 174